1.
Density functional theory data (PBE) for an optimized crystal structure of Cs2HgPbF6.

abc: 9.1839 9.1839 9.1839
angles: 90.00 90.00 90.00
With the nearest neighbours (Å) after each atom.
Space group Fm-3m (No. 225)
Asymmetric unit:
Cs 0.2500 0.2500 0.2500 (multiplicity 8)  12 F 3.25
Hg 0.0000 0.0000 0.0000 (multiplicity 4)  6 F 2.26
Pb 0.0000 0.0000 0.5000 (multiplicity 4)  6 F 2.33
F 0.0000 0.0000 0.2461 (multiplicity 24)  1 Hg 2.26, 1 Pb 2.33

***

2.
Density functional theory data (PBE) for an optimized crystal structure of Pm3Ni2Ge7.

Values from the calculation:
magnetic moment: 0.00 μB/cell

abc: 4.2443 4.2670 12.9601
angles: 90.00 99.39 90.00
With the nearest neighbours (Å) after each atom.
Space group P2/m (No. 10)
Asymmetric unit:
Pm 0.0000 0.0000 0.0000 (multiplicity 1)  12 Ge 3.01-3.12, 2 Ni 3.31
Pm 0.3155 0.5000 0.6311 (multiplicity 2)  10 Ge 3.15-3.24, 4 Ni 3.32-3.33
Ni 0.1280 0.0000 0.2589 (multiplicity 2)  5 Ge 2.35-2.37
Ge 0.0912 0.5000 0.1777 (multiplicity 2)  2 Ni 2.37
Ge 0.2209 0.0000 0.4424 (multiplicity 2)  1 Ni 2.35, 2 Ge 2.58-2.59
Ge 0.4118 0.0000 0.8218 (multiplicity 2)  2 Ni 2.36
Ge 0.5000 0.5000 0.0000 (multiplicity 1)  4 Pm 3.01, 8 Ge 3.10-3.12

***

3.
Density functional theory data (PBE) for an optimized crystal structure of TcGeBi2.

Values from the calculation:
magnetic moment: 0.03 μB/cell

abc: 7.0832 7.0832 7.0832
angles: 90.00 90.00 90.00
With the nearest neighbours (Å) after each atom.
Space group F-43m (No. 216)
Asymmetric unit:
Tc 0.0000 0.0000 0.0000 (multiplicity 4)  4 Ge 3.07, 4 Bi 3.07
Ge 0.2500 0.2500 0.2500 (multiplicity 4)  4 Bi 3.07, 4 Tc 3.07
Bi 0.0000 0.0000 0.5000 (multiplicity 4)  4 Ge 3.07, 4 Bi 3.07
Bi 0.2500 0.2500 0.7500 (multiplicity 4)  4 Tc 3.07, 4 Bi 3.07

***

4.
Density functional theory data (PBE) for an optimized crystal structure of MgTlZnCu.

Values from the calculation:
relative energy among the computed polymorphs: 0.0 meV per atom

abc: 6.6565 6.6565 6.6565
angles: 90.00 90.00 90.00
With the nearest neighbours (Å) after each atom.
Space group F-43m (No. 216)
Asymmetric unit:
Mg 0.0000 0.0000 0.0000 (multiplicity 4)  4 Zn 2.88, 4 Tl 2.88
Tl 0.2500 0.2500 0.2500 (multiplicity 4)  4 Mg 2.88, 4 Cu 2.88
Zn 0.2500 0.2500 0.7500 (multiplicity 4)  4 Mg 2.88, 4 Cu 2.88
Cu 0.0000 0.0000 0.5000 (multiplicity 4)  4 Tl 2.88, 4 Zn 2.88

***

5.
Density functional theory data (PBE) for an optimized crystal structure of CsNdSbTe3.

Values from the calculation:
magnetic moment: 0.05 μB/cell

abc: 4.6864 18.5447 11.4440
angles: 90.00 90.00 90.00
With the nearest neighbours (Å) after each atom.
Space group Cmcm (No. 63)
Asymmetric unit:
Cs 0.0000 0.2380 0.2500 (multiplicity 4)  8 Te 3.91-4.22
Nd 0.0000 0.0000 0.0000 (multiplicity 4)  6 Te 3.25-3.34
Sb 0.0000 0.4692 0.7500 (multiplicity 4)  4 Te 2.94-3.29
Te 0.0000 0.0934 0.7500 (multiplicity 4)  2 Sb 3.29, 2 Nd 3.34
Te 0.0000 0.3810 0.5367 (multiplicity 8)  1 Sb 2.94, 2 Nd 3.25

***

6.
Density functional theory data (PBE) for an optimized crystal structure of TbPmB4.

Values from the calculation:
magnetic moment: 0.01 μB/cell
relative energy among the computed polymorphs: 9.0 meV per atom

abc: 3.3177 5.7482 7.9667
angles: 90.00 90.00 90.00
With the nearest neighbours (Å) after each atom.
Space group Immm (No. 71)
Asymmetric unit:
Tb 0.0000 0.0000 0.0000 (multiplicity 2)  12 B 2.76-2.77
Pm 0.0000 0.0000 0.5000 (multiplicity 2)  12 B 2.76-2.77
B 0.0000 0.3334 0.2511 (multiplicity 8)  3 B 1.91-1.92

***

Raw total energy list, top to bottom, in eV per atom: -3.917; -5.465; -5.042; -2.075; -3.964; -6.446